No. 1
Computed, not measured: crystalline CaErHg at its relaxed geometry at the PBE level of DFT.

The space group is P3m1 (No. 156) and the conventional cell measures 5.1769, 5.1769 and 3.8343 Å, with angles of 90.00, 90.00 and 120.00 degrees. Symmetry generates all atoms from Ca at (0.0000, 0.0000, 0.0000), Er at (0.3333, 0.6667, 0.4752) and Hg at (0.6667, 0.3333, 0.6408).

Its density of states at the Fermi level is 0.943 states/eV per atom. As for the formation energy: -178 meV per atom. The calculation puts the total energy at -2.4666 eV per atom.

=====

No. 2
Computed, not measured: crystalline Y6Co7 at its relaxed geometry at the PBE level of DFT.

The space group is R-3m (No. 166, hexagonal axes) and the conventional cell measures 5.1792, 5.1792 and 30.5965 Å, with angles of 90.00, 90.00 and 120.00 degrees. Symmetry generates all atoms from Y at (0.0000, 0.0000, 0.0543), Y at (0.0000, 0.0000, 0.1523), Y at (0.0000, 0.0000, 0.3275), Co at (0.0000, 0.0000, 0.5000) and Co at (0.0052, 0.5026, 0.0981).

Its density of states at the Fermi level is 1.193 states/eV per atom. As for the formation energy: 6 meV per atom. The calculation puts the total energy at -6.8035 eV per atom.

=====

No. 3
Computed, not measured: crystalline NaFe2Cu2 at its relaxed geometry at the PBE level of DFT.

The space group is P4/mbm (No. 127) and the conventional cell measures 7.550, 7.550 and 2.489 Å, with angles of 90.00, 90.00 and 90.00 degrees. Symmetry generates all atoms from Na at (0.000, 0.000, 0.000), Fe at (0.113, 0.387, 0.000) and Cu at (0.178, 0.678, 0.500).

Its density of states at the Fermi level is 0.848 states/eV per atom. As for the formation energy: 315 meV per atom. The calculation puts the total energy at -4.9728 eV per atom.

=====

No. 4
Computed, not measured: crystalline Ta3W5 at its relaxed geometry at the PBE level of DFT.

The space group is I-4m2 (No. 119) and the conventional cell measures 3.837, 3.837 and 18.697 Å, with angles of 90.00, 90.00 and 90.00 degrees. Symmetry generates all atoms from Ta at (0.000, 0.000, 0.000), Ta at (0.000, 0.500, 0.126), W at (0.000, 0.000, 0.250), W at (0.000, 0.000, 0.500) and W at (0.000, 0.500, 0.625).

Its density of states at the Fermi level is 0.833 states/eV per atom. As for the formation energy: 235 meV per atom. The calculation puts the total energy at -12.3053 eV per atom.